## AlAs2PSe (PBE-GGA)

Data for a relaxed structure of AlAs2PSe.

```
AlAs2PSe
1.0
4.8491 0.0000 0.0000
0.0000 4.8491 0.0000
0.0000 0.0000 4.7303
Al As P Se
1 2 1 1
Direct
0.0000 0.0000 0.0000
0.0000 0.5000 0.0000
0.5000 0.0000 0.0000
0.5000 0.5000 0.5000
0.0000 0.0000 0.5000
```

Output
ΔE_f (raw) in eV per formula unit: 3.76
Energy above the most stable polymorph in this dataset in eV per atom: 0.142
Symmetry: P4/mmm (123)
VASP energy in eV per atom: -3.6361